1.
Here is crystalline CoTeW2 at its relaxed geometry from Alexandria via LeMat-Bulk. Energies are from GGA-PBE.

a b c (Å): 3.074 3.074 6.784
angles (deg): 90.00 90.00 90.00
Each line ends with the local moment (μB).
Sites, in units of the cell vectors:
1 Te 0.500 0.500 0.750  0.00
2 W 0.000 0.000 0.476  0.01
3 W 0.000 0.000 0.024  0.01
4 Co 0.500 0.500 0.250  1.20

Properties
formation energy from raw total energies: 0.636 eV/atom

***

2.
Here is crystalline Te4OsRu at its relaxed geometry from Alexandria via LeMat-Bulk. Energies are from GGA-PBE.

a b c (Å): 6.042 6.042 6.042
angles (deg): 60.00 60.00 60.00
Each line ends with the local moment (μB).
Sites, in units of the cell vectors:
1 Os 0.750 0.750 0.750  2.39
2 Ru 0.000 0.000 0.000  2.19
3 Te 0.375 0.874 0.375  0.04
4 Te 0.874 0.375 0.375  0.04
5 Te 0.375 0.375 0.874  0.04
6 Te 0.375 0.375 0.375  0.04

Properties
formation energy from raw total energies: 1.858 eV/atom

***

3.
Here is crystalline TiBeSN2 at its relaxed geometry from Alexandria via LeMat-Bulk. Energies are from GGA-PBE.

a b c (Å): 3.735 3.735 5.318
angles (deg): 90.00 90.00 90.00
Sites, in units of the cell vectors:
1 N 0.000 0.500 0.000
2 N 0.500 0.000 0.000
3 Ti 0.000 0.000 0.000
4 Be 0.500 0.500 0.500
5 S 0.000 0.000 0.500

Properties
formation energy from raw total energies: 0.488 eV/atom
energy above the most stable polymorph in this dataset: 81 meV per atom

***

4.
Here is crystalline LaPrPa at its relaxed geometry from Alexandria via LeMat-Bulk. Energies are from GGA-PBE.

a b c (Å): 3.500 3.500 8.896
angles (deg): 90.00 90.00 120.00
Sites, in units of the cell vectors:
1 Pr 0.667 0.333 0.312
2 Pa 0.000 0.000 0.999
3 La 0.333 0.667 0.689

Properties
energy above the most stable polymorph in this dataset: 10 meV per atom
DFT formation energy: 0.180 eV per atom

***

5.
Here is crystalline HfSc2GaH at its relaxed geometry from Alexandria via LeMat-Bulk. Energies are from GGA-PBE.

a b c (Å): 4.348 4.348 4.371
angles (deg): 90.00 90.00 90.00
Sites, in units of the cell vectors:
1 H 0.000 0.000 0.000
2 Sc 0.500 0.000 0.000
3 Sc 0.000 0.500 0.000
4 Ga 0.500 0.500 0.500
5 Hf 0.000 0.000 0.500

***

| no. | electronic total energy (eV/atom) |
| --- | --- |
| 1 | -8.402 |
| 2 | -3.654 |
| 3 | -5.992 |
| 4 | -6.221 |
| 5 | -6.158 |